Entry 1:
9
Lattice="-0.994 0.211 4.281 4.062 -1.359 1.010 2.200 6.709 0.181" Properties=species:S:1:pos:R:3 comment="DyBe2GaPd5, relaxed, DFT PBE" magnetic_moment_mub_per_fu=0.00 density_kg_m3=9499 final_energy_ry_per_atom=-0.37714 pbc="T T T"
Be 1.895 0.526 2.675
Be 3.373 5.034 2.797
Dy 1.100 3.354 0.090
Pd 2.634 2.780 2.736
Pd 3.765 4.606 0.647
Pd 2.497 0.743 0.543
Pd 1.237 5.391 2.283
Pd -0.030 1.528 2.179
Ga 0.000 0.000 0.000


Entry 2:
15
Lattice="-0.830 8.122 4.298 -3.782 -1.220 -8.328 -4.278 -4.520 7.715" Properties=species:S:1:pos:R:3 comment="Ba8P3I3O, relaxed, DFT PBE" magnetic_moment_mub_per_fu=1.06 density_kg_m3=4279 formation_energy_uncorrected_ev_per_atom=-1.383 pbc="T T T"
Ba -1.647 0.634 3.210
Ba -6.809 -2.498 -1.772
Ba -3.480 0.174 -1.002
Ba -4.828 -1.861 2.583
Ba -7.243 1.747 0.475
Ba -2.081 4.880 5.456
Ba -5.410 2.208 4.687
Ba -4.062 4.243 1.102
P -4.030 -2.870 -0.307
P -2.554 1.801 6.006
P -4.445 1.191 1.842
I 0.000 0.000 0.000
I -1.891 -0.610 -4.164
I -2.306 3.451 -2.015
O -2.139 -2.260 3.857